## A
Crystalline MgBiP2 at its relaxed geometry. Source: Alexandria, functional PBE-GGA.

Geometry as POSCAR:
```
MgBiP2
1.0
-3.559 -0.907 4.791
-1.119 -5.621 -1.895
2.571 -5.338 4.703
P Bi Mg
4 2 2
direct
0.375 0.399 0.750
0.875 0.851 0.750
0.149 0.625 0.250
0.601 0.125 0.250
0.000 0.000 0.000
0.750 0.250 0.500
0.500 0.500 0.000
0.250 0.750 0.500
```

Computed properties:
SG: I-42d, No. 122
D(E_F): 3.6 states/eV/f.u.


## B
Crystalline MgBiP2 at its relaxed geometry. Source: Alexandria, functional PBE-GGA.

Geometry as POSCAR:
```
MgBiP2
1.0
0.000 3.463 3.463
3.463 0.000 3.463
3.463 3.463 0.000
P Bi Mg
2 1 1
direct
0.750 0.750 0.750
0.250 0.250 0.250
0.500 0.500 0.500
0.000 0.000 0.000
```

Computed properties:
SG: Fm-3m, No. 225
D(E_F): 2.0 states/eV/f.u.


Which one is most stable, and which one is least stable? A is the most stable of them, while B is the least stable.


## A
Crystalline MgBiP2S at its relaxed geometry. Source: Alexandria, functional PBE-GGA.

Geometry as POSCAR:
```
MgBiP2S
1.0
-3.475 3.158 -1.135
-2.442 -1.259 3.974
2.292 3.418 2.491
P Bi S Mg
2 1 1 1
direct
0.500 0.000 0.000
0.000 0.500 0.000
0.500 0.500 0.500
0.000 0.000 0.500
0.000 0.000 0.000
```

Computed properties:
SG: P4/mmm, No. 123
D(E_F): 4.9 states/eV/f.u.


## B
Crystalline MgBiP2S at its relaxed geometry. Source: Alexandria, functional PBE-GGA.

Geometry as POSCAR:
```
MgBiP2S
1.0
-0.131 4.995 -1.546
0.410 -1.531 -4.985
-5.218 -0.246 -0.354
Bi S P Mg
1 1 2 1
direct
0.000 0.000 0.000
0.000 0.000 0.500
0.500 0.000 0.000
0.000 0.500 0.000
0.500 0.500 0.500
```

Computed properties:
SG: P4/mmm, No. 123
D(E_F): 5.9 states/eV/f.u.


Which one is most stable, and which one is least stable? A is the most stable of them, while B is the least stable.